(1)
A plane-wave DFT calculation with PBE was carried out for Nd8SmIn6 after structural relaxation.

```
15
Lattice="4.632 2.674 6.653 -4.632 2.674 6.653 0.000 -5.348 6.653" Properties=species:S:1:pos:R:3 pbc="T T T"
Nd -3.094 -0.001 7.668
Nd 0.000 0.000 3.319
Nd -1.546 -2.680 12.291
Nd 1.548 -2.679 7.668
Nd -1.548 2.679 12.291
Nd 1.546 2.680 7.668
Nd 0.000 0.000 16.641
Nd 3.094 0.001 12.291
Sm 0.000 0.000 9.980
In -1.535 -2.655 8.898
In -3.067 0.002 11.061
In -1.532 2.657 8.898
In 1.532 -2.657 11.061
In 3.067 -0.002 8.898
In 1.535 2.655 11.061
```

Computed properties:
**ΔH_f (0 K)**: -0.245 eV/atom
**ρ**: 6.69 Mg/m³

***

(2)
A plane-wave DFT calculation with PBE was carried out for SrTe2CN after structural relaxation.

```
5
Lattice="6.238 0.000 0.000 0.000 6.238 0.000 0.000 0.000 4.771" Properties=species:S:1:pos:R:3 pbc="T T T"
Sr 0.000 0.000 0.000
Te 0.000 3.119 0.000
Te 3.119 0.000 0.000
C 3.119 3.119 2.385
N 0.000 0.000 2.385
```

Computed properties:
**ρ**: 3.30 Mg/m³

***

(3)
A plane-wave DFT calculation with PBE was carried out for PrGeTe after structural relaxation.

```
12
Lattice="4.225 0.000 0.000 0.000 4.225 0.000 0.000 0.000 22.182" Properties=species:S:1:pos:R:3 pbc="T T T"
Pr 0.000 0.000 3.672
Pr 0.000 0.000 18.510
Pr 2.112 2.112 7.419
Pr 2.112 2.112 14.763
Ge 0.000 0.000 6.578
Ge 0.000 0.000 15.603
Ge 2.112 2.112 4.513
Ge 2.112 2.112 17.669
Te 0.000 0.000 9.203
Te 0.000 0.000 12.979
Te 2.112 2.112 1.888
Te 2.112 2.112 20.294
```

Computed properties:
**ρ**: 5.72 Mg/m³

***

(4)
A plane-wave DFT calculation with PBE was carried out for Ac5AlIn2 after structural relaxation.

```
16
Lattice="-4.282 4.282 8.153 4.282 -4.282 8.153 4.282 4.282 -8.153" Properties=species:S:1:pos:R:3 pbc="T T T"
Ac 0.000 0.000 0.000
Ac 5.764 1.482 -2.474
Ac 1.482 2.800 -2.474
Ac 5.764 1.482 2.474
Ac 1.482 2.800 2.474
Ac 0.000 0.000 8.153
Ac 2.800 1.482 5.678
Ac -1.482 2.800 5.678
Ac 2.800 1.482 10.627
Ac -1.482 2.800 10.627
Al 0.000 0.000 4.076
Al 0.000 0.000 12.229
In 3.250 1.032 0.000
In 3.250 -1.032 8.153
In 1.032 5.314 0.000
In 1.032 3.250 8.153
```

Computed properties:
**ΔH_f (0 K)**: -0.262 eV/atom
**ρ**: 7.73 Mg/m³

***

| no. | energy (eV/cell) |
| --- | --- |
| 1 | -63.0 |
| 2 | -14.2 |
| 3 | -57.9 |
| 4 | -63.7 |